# 1
A plane-wave DFT calculation with GGA-PBEsol was carried out for CaHgSe2 after structural relaxation.

Geometry as extended XYZ:
```
4
Lattice="2.078 1.200 6.510 -2.078 1.200 6.510 0.000 -2.399 6.510" Properties=species:S:1:pos:R:3 pbc="T T T"
Ca 0.000 0.000 0.000
Hg 0.000 0.000 9.765
Se 0.000 0.000 4.819
Se 0.000 0.000 14.711
```

The theoretical density is 6799 kg/m³.

***

# 2
A plane-wave DFT calculation with GGA-PBEsol was carried out for Ca2IrOs after structural relaxation.

Geometry as extended XYZ:
```
4
Lattice="-2.067 2.067 4.313 2.067 -2.067 4.313 2.067 2.067 -4.313" Properties=species:S:1:pos:R:3 pbc="T T T"
Ca 2.067 0.000 2.157
Ca 0.000 2.067 2.157
Ir 0.000 0.000 0.000
Os 0.000 0.000 4.313
```

The calculation puts the distance to the lowest polymorph of the same formula at 1.49 eV/f.u. The theoretical density is 10424 kg/m³.

***

# 3
A plane-wave DFT calculation with GGA-PBEsol was carried out for Zr2AgAu after structural relaxation.

Geometry as extended XYZ:
```
4
Lattice="3.470 0.000 0.000 0.000 3.470 0.000 0.000 0.000 6.388" Properties=species:S:1:pos:R:3 pbc="T T T"
Zr 0.000 0.000 0.000
Zr 1.735 1.735 1.883
Ag 0.000 0.000 3.404
Au 1.735 1.735 4.930
```

The theoretical density is 10520 kg/m³.

***

# 4
A plane-wave DFT calculation with GGA-PBEsol was carried out for SiHg2Sb after structural relaxation.

Geometry as extended XYZ:
```
4
Lattice="1.860 1.074 7.550 -1.860 1.074 7.550 0.000 -2.147 7.550" Properties=species:S:1:pos:R:3 pbc="T T T"
Si 0.000 0.000 0.000
Hg 0.000 0.000 5.891
Hg 0.000 0.000 16.758
Sb 0.000 0.000 11.324
```

The calculation puts the distance to the lowest polymorph of the same formula at 0.57 eV/f.u. The theoretical density is 10118 kg/m³.

***

# 5
A plane-wave DFT calculation with GGA-PBEsol was carried out for Hg2Pt after structural relaxation.

Geometry as extended XYZ:
```
6
Lattice="-3.265 3.265 2.820 3.265 -3.265 2.820 3.265 3.265 -2.820" Properties=species:S:1:pos:R:3 pbc="T T T"
Hg 4.371 1.106 0.000
Hg 1.106 2.159 0.000
Hg 2.159 1.106 2.820
Hg -1.106 2.159 2.820
Pt 0.000 0.000 1.410
Pt 0.000 0.000 4.230
```

The calculation puts the distance to the lowest polymorph of the same formula at 0.12 eV/f.u. The theoretical density is 16467 kg/m³.

***

# 6
A plane-wave DFT calculation with GGA-PBEsol was carried out for SrCa2Tc after structural relaxation.

Geometry as extended XYZ:
```
4
Lattice="0.000 3.806 3.806 3.806 0.000 3.806 3.806 3.806 0.000" Properties=species:S:1:pos:R:3 pbc="T T T"
Sr 0.000 0.000 0.000
Ca 3.806 3.806 3.806
Ca 5.710 5.710 5.710
Tc 1.903 1.903 1.903
```

The calculation puts the distance to the lowest polymorph of the same formula at 0.00 eV/f.u. The theoretical density is 4001 kg/m³.

***

# 7
A plane-wave DFT calculation with GGA-PBEsol was carried out for La2HgRh after structural relaxation.

Geometry as extended XYZ:
```
4
Lattice="4.142 0.000 0.000 0.000 2.269 5.535 0.000 -2.269 5.535" Properties=species:S:1:pos:R:3 pbc="T T T"
La 0.000 0.000 0.000
La 2.071 0.000 3.257
Hg 2.071 0.000 6.494
Rh 0.000 0.000 8.519
```

The theoretical density is 9278 kg/m³.

***

# 8
A plane-wave DFT calculation with GGA-PBEsol was carried out for Hf2GeSb after structural relaxation.

Geometry as extended XYZ:
```
4
Lattice="0.000 3.408 3.408 3.408 0.000 3.408 3.408 3.408 0.000" Properties=species:S:1:pos:R:3 pbc="T T T"
Hf 1.704 1.704 1.704
Hf 5.113 5.113 5.113
Ge 0.000 0.000 0.000
Sb 3.408 3.408 3.408
```

The theoretical density is 11561 kg/m³.

***

# 9
A plane-wave DFT calculation with GGA-PBEsol was carried out for Zr2Ta after structural relaxation.

Geometry as extended XYZ:
```
3
Lattice="-1.471 2.354 4.430 1.471 -2.354 4.430 1.471 2.354 -4.430" Properties=species:S:1:pos:R:3 pbc="T T T"
Zr 0.000 0.000 1.448
Zr 0.000 0.000 7.413
Ta 0.000 0.000 4.430
```

The theoretical density is 9835 kg/m³.

***

# 10
A plane-wave DFT calculation with GGA-PBEsol was carried out for CuSiAg after structural relaxation.

Geometry as extended XYZ:
```
3
Lattice="0.000 1.950 5.663 1.914 0.000 5.663 1.914 1.950 0.000" Properties=species:S:1:pos:R:3 pbc="T T T"
Cu 0.000 0.000 0.000
Si 1.914 1.950 7.217
Ag 1.914 1.950 3.680
```

The calculation puts the distance to the lowest polymorph of the same formula at 0.00 eV/f.u. The theoretical density is 7836 kg/m³.

***

# 11
A plane-wave DFT calculation with GGA-PBEsol was carried out for BaTa2AsN after structural relaxation.

Geometry as extended XYZ:
```
5
Lattice="4.722 0.000 0.000 0.000 4.722 0.000 0.000 0.000 6.275" Properties=species:S:1:pos:R:3 pbc="T T T"
Ba 0.000 0.000 0.000
Ta 0.000 2.361 3.137
Ta 2.361 0.000 3.137
As 0.000 0.000 3.137
N 2.361 2.361 0.000
```

The theoretical density is 6981 kg/m³.

***

# 12
A plane-wave DFT calculation with GGA-PBEsol was carried out for Si2NiP3 after structural relaxation.

Geometry as extended XYZ:
```
6
Lattice="-1.748 5.526 2.639 1.748 -5.526 2.639 1.748 5.526 -2.639" Properties=species:S:1:pos:R:3 pbc="T T T"
Si 0.000 1.824 0.000
Si 0.000 9.229 0.000
Ni 0.000 5.526 0.052
P 1.748 -1.778 1.430
P 1.748 1.778 1.430
P 0.000 0.000 3.960
```

The theoretical density is 3384 kg/m³.

***

# 13
A plane-wave DFT calculation with GGA-PBEsol was carried out for LiSmIn2 after structural relaxation.

Geometry as extended XYZ:
```
4
Lattice="0.000 3.609 3.609 3.609 0.000 3.609 3.609 3.609 0.000" Properties=species:S:1:pos:R:3 pbc="T T T"
Li 0.000 0.000 0.000
Sm 3.609 3.609 3.609
In 1.805 1.805 1.805
In 5.414 5.414 5.414
```

The theoretical density is 6834 kg/m³.

***

# 14
A plane-wave DFT calculation with GGA-PBEsol was carried out for FeIrBr2 after structural relaxation.

Geometry as extended XYZ:
```
4
Lattice="2.990 -1.726 0.000 2.990 1.726 0.000 -2.068 0.000 8.016" Properties=species:S:1:pos:R:3 pbc="T T T"
Fe 0.000 0.000 0.000
Ir 1.994 0.000 1.317
Br 1.918 0.000 6.364
Br 3.987 0.000 3.020
```

The calculation puts the distance to the lowest polymorph of the same formula at 0.00 eV/f.u. The theoretical density is 8185 kg/m³.

***

# 15
A plane-wave DFT calculation with GGA-PBEsol was carried out for In2Si2C after structural relaxation.

Geometry as extended XYZ:
```
5
Lattice="-2.322 2.322 4.935 2.322 -2.322 4.935 2.322 2.322 -4.935" Properties=species:S:1:pos:R:3 pbc="T T T"
In 2.322 0.000 2.468
In 0.000 2.322 2.468
Si 0.000 0.000 1.125
Si 0.000 0.000 8.746
C 0.000 0.000 4.935
```

The theoretical density is 4647 kg/m³.

***

# 16
A plane-wave DFT calculation with GGA-PBEsol was carried out for Zr2Ge2Pd after structural relaxation.

Geometry as extended XYZ:
```
10
Lattice="6.574 0.000 0.000 0.000 6.574 0.000 0.000 0.000 4.033" Properties=species:S:1:pos:R:3 pbc="T T T"
Zr 1.135 2.152 0.000
Zr 2.152 5.438 0.000
Zr 4.422 1.135 0.000
Zr 5.438 4.422 0.000
Ge 0.874 4.161 2.016
Ge 2.413 0.874 2.016
Ge 4.161 5.700 2.016
Ge 5.700 2.413 2.016
Pd 0.000 0.000 2.016
Pd 3.287 3.287 2.016
```

The theoretical density is 8273 kg/m³.

***

# 17
A plane-wave DFT calculation with GGA-PBEsol was carried out for Be3NbF after structural relaxation.

Geometry as extended XYZ:
```
5
Lattice="4.628 0.000 0.000 0.000 4.628 0.000 0.000 0.000 4.628" Properties=species:S:1:pos:R:3 pbc="T T T"
Be 0.000 0.000 2.314
Be 0.000 2.314 0.000
Be 2.314 0.000 0.000
Nb 0.000 0.000 0.000
F 2.314 2.314 2.314
```

The theoretical density is 2328 kg/m³.

***

# 18
A plane-wave DFT calculation with GGA-PBEsol was carried out for TiOs3F after structural relaxation.

Geometry as extended XYZ:
```
5
Lattice="4.143 0.000 0.000 0.000 4.143 0.000 0.000 0.000 4.143" Properties=species:S:1:pos:R:3 pbc="T T T"
Ti 0.000 0.000 0.000
Os 0.000 2.072 2.072
Os 2.072 0.000 2.072
Os 2.072 2.072 0.000
F 2.072 2.072 2.072
```

The theoretical density is 14887 kg/m³.

***

# 19
A plane-wave DFT calculation with GGA-PBEsol was carried out for La2ZnCo after structural relaxation.

Geometry as extended XYZ:
```
4
Lattice="2.104 1.215 6.396 -2.104 1.215 6.396 0.000 -2.429 6.396" Properties=species:S:1:pos:R:3 pbc="T T T"
La 0.000 0.000 0.000
La 0.000 0.000 3.530
Zn 0.000 0.000 8.153
Co 0.000 0.000 14.625
```

The theoretical density is 6809 kg/m³.

***

# 20
A plane-wave DFT calculation with GGA-PBEsol was carried out for OsW2 after structural relaxation.

Geometry as extended XYZ:
```
30
Lattice="9.608 0.000 0.000 0.000 9.608 0.000 0.000 0.000 4.951" Properties=species:S:1:pos:R:3 pbc="T T T"
Os 0.000 0.000 0.000
Os 0.666 2.532 0.000
Os 2.272 5.470 2.476
Os 2.532 0.666 0.000
Os 4.138 7.336 2.476
Os 4.804 4.804 2.476
Os 5.470 2.272 2.476
Os 7.076 8.942 0.000
Os 7.336 4.138 2.476
Os 8.942 7.076 0.000
W 0.362 3.550 2.476
W 0.999 0.999 2.476
W 1.254 5.166 0.000
W 1.727 7.881 1.240
W 1.727 7.881 3.711
W 3.077 3.077 1.235
W 3.077 3.077 3.716
W 3.550 0.362 2.476
W 3.805 5.803 0.000
W 4.442 8.354 0.000
W 5.166 1.254 0.000
W 5.803 3.805 0.000
W 6.058 9.246 2.476
W 6.531 6.531 1.235
W 6.531 6.531 3.716
W 7.881 1.727 1.240
W 7.881 1.727 3.711
W 8.354 4.442 0.000
W 8.608 8.608 2.476
W 9.246 6.058 2.476
```

The calculation puts the distance to the lowest polymorph of the same formula at 0.00 eV/f.u. The theoretical density is 20270 kg/m³.

***

Total DFT energy (no corrections): -3.574; -6.115; -6.720; -2.579; -2.740; -3.631; -5.417; -7.925; -10.065; -4.333; -6.493; -6.124; -3.693; -5.481; -3.873; -7.665; -3.203; -8.264; -5.114; -13.263 (eV per atom)